1.
This record from Alexandria via LeMat-Bulk describes a crystal of TaP2Au2 relaxed with PBEsol. The functional is meta-GGA SCAN.

Total DFT energy (no corrections): -44.83 eV per atom
Volume: 16.9 Å³/atom

Cell lengths 3.1580, 3.1580, 16.9463 Å; angles 90.00, 90.00, 90.00 degrees
Atoms (fractional coordinates):
Ta 0.0000 0.0000 0.0000
Ta 0.5000 0.5000 0.5000
P 0.0000 0.5000 0.2500
P 0.0000 0.5000 0.7500
P 0.5000 0.0000 0.2500
P 0.5000 0.0000 0.7500
Au 0.0000 0.0000 0.3963
Au 0.0000 0.0000 0.6037
Au 0.5000 0.5000 0.1037
Au 0.5000 0.5000 0.8963

2.
This record from Alexandria via LeMat-Bulk describes a crystal of Tc3PAu relaxed with PBEsol. The functional is meta-GGA SCAN.

Total DFT energy (no corrections): -34.58 eV per atom
Volume: 21.8 Å³/atom

Cell lengths 4.7761, 4.7761, 4.7761 Å; angles 90.00, 90.00, 90.00 degrees
Atoms (fractional coordinates):
Tc 0.0000 0.0000 0.5000
Tc 0.0000 0.5000 0.0000
Tc 0.5000 0.0000 0.0000
P 0.5000 0.5000 0.5000
Au 0.0000 0.0000 0.0000

3.
This record from Alexandria via LeMat-Bulk describes a crystal of TcP4Au relaxed with PBEsol. The functional is meta-GGA SCAN.

Total DFT energy (no corrections): -23.33 eV per atom
Volume: 14.3 Å³/atom

Cell lengths 4.9451, 4.9451, 4.9451 Å; angles 60.00, 60.00, 60.00 degrees
Atoms (fractional coordinates):
Tc 0.0000 0.0000 0.0000
P 0.1237 0.6254 0.6254
P 0.6254 0.1237 0.6254
P 0.6254 0.6254 0.1237
P 0.6254 0.6254 0.6254
Au 0.2500 0.2500 0.2500

- Number 2 is which compound?
  Tc3PAu